[1]
The following is a DFT calculation (PBE-GGA) of crystalline Tm5Si at its relaxed geometry.

Structure (CIF):
```
data_Tm5Si
_space_group_name_H-M_alt 'C m m m'
_space_group_IT_number 65
_space_group_name_Hall '-C 2 2'
_cell_length_a 4.6172
_cell_length_b 14.3750
_cell_length_c 4.7035
_cell_angle_alpha 90.00
_cell_angle_beta 90.00
_cell_angle_gamma 90.00
loop_
_atom_site_label
_atom_site_type_symbol
_atom_site_fract_x
_atom_site_fract_y
_atom_site_fract_z
Tm1 Tm 0.0000 0.0000 0.0000
Tm2 Tm 0.0000 0.1564 0.5000
Tm3 Tm 0.0000 0.3352 0.0000
Si1 Si 0.0000 0.5000 0.5000
```

## Properties
Spin magnetization   0.00 μB/atom
Formation energy from raw total energies   -0.140 eV/atom
Crystal system   orthorhombic
D(E_F)   13.2 states/eV/cell



[2]
The following is a DFT calculation (PBE-GGA) of crystalline Gd2HoHg at its relaxed geometry.

Structure (CIF):
```
data_Gd2HoHg
_space_group_name_H-M_alt 'F m -3 m'
_space_group_IT_number 225
_space_group_name_Hall '-F 4 2 3'
_cell_length_a 7.6794
_cell_length_b 7.6794
_cell_length_c 7.6794
_cell_angle_alpha 90.00
_cell_angle_beta 90.00
_cell_angle_gamma 90.00
loop_
_atom_site_label
_atom_site_type_symbol
_atom_site_fract_x
_atom_site_fract_y
_atom_site_fract_z
Gd1 Gd 0.2500 0.2500 0.2500
Ho1 Ho 0.0000 0.0000 0.0000
Hg1 Hg 0.0000 0.0000 0.5000
```

## Properties
Spin magnetization   3.81 μB/atom
Crystal system   cubic
Formation energy   -8 kJ per mole of atoms
D(E_F)   21.9 states/eV/cell
Energy relative to the lowest polymorph listed for this composition   144 meV per atom



[3]
The following is a DFT calculation (PBE-GGA) of crystalline Ca3PF at its relaxed geometry.

Structure (CIF):
```
data_Ca3PF
_space_group_name_H-M_alt 'P m -3 m'
_space_group_IT_number 221
_space_group_name_Hall '-P 4 2 3'
_cell_length_a 4.7779
_cell_length_b 4.7779
_cell_length_c 4.7779
_cell_angle_alpha 90.00
_cell_angle_beta 90.00
_cell_angle_gamma 90.00
loop_
_atom_site_label
_atom_site_type_symbol
_atom_site_fract_x
_atom_site_fract_y
_atom_site_fract_z
Ca1 Ca 0.0000 0.0000 0.5000
P1 P 0.5000 0.5000 0.5000
F1 F 0.0000 0.0000 0.0000
```

## Properties
Spin magnetization   0.32 μB/atom
Formation energy from raw total energies   -1.142 eV/atom
Crystal system   cubic
D(E_F)   5.5 states/eV/cell
Energy relative to the lowest polymorph listed for this composition   0 meV per atom



[4]
The following is a DFT calculation (PBE-GGA) of crystalline TiAl2Tc at its relaxed geometry.

Structure (CIF):
```
data_TiAl2Tc
_space_group_name_H-M_alt 'F m -3 m'
_space_group_IT_number 225
_space_group_name_Hall '-F 4 2 3'
_cell_length_a 6.2096
_cell_length_b 6.2096
_cell_length_c 6.2096
_cell_angle_alpha 90.00
_cell_angle_beta 90.00
_cell_angle_gamma 90.00
loop_
_atom_site_label
_atom_site_type_symbol
_atom_site_fract_x
_atom_site_fract_y
_atom_site_fract_z
Ti1 Ti 0.0000 0.0000 0.0000
Al1 Al 0.2500 0.2500 0.2500
Tc1 Tc 0.0000 0.0000 0.5000
```

## Properties
Spin magnetization   0.00 μB/atom
Crystal system   cubic
Formation energy   -32 kJ per mole of atoms
D(E_F)   9.1 states/eV/cell
Energy relative to the lowest polymorph listed for this composition   67 meV per atom